# Ag3WI2F6 (PBE with a Hubbard U, optimized geometry)
# Final energy   -49.60 eV/f.u.
# DOS(E_F)   0.0 states/eV per cell
data_Ag3WI2F6
_space_group_name_H-M_alt 'C 1 2/m 1'
_space_group_IT_number 12
_space_group_name_Hall '-C 2y'
_cell_length_a 14.544
_cell_length_b 7.658
_cell_length_c 5.045
_cell_angle_alpha 90.00
_cell_angle_beta 97.59
_cell_angle_gamma 90.00
loop_
_atom_site_label
_atom_site_fract_x
_atom_site_fract_y
_atom_site_fract_z
Ag1 0.000 0.000 0.000
Ag2 0.250 0.250 0.500
W1 0.000 0.500 0.500
I1 0.187 0.000 0.138
F1 0.058 0.315 0.725
F2 0.110 0.500 0.311